## Tl2InGeSe5 (GGA-PBE)

Data for an optimized crystal structure of Tl2InGeSe5.

POSCAR file:
```
Tl2InGeSe5
1.0
1.9441 -9.9010 0.0000
1.9441 9.9010 0.0000
0.0000 0.0000 13.1455
Tl In Ge Se
4 2 2 10
direct
0.1248 0.8752 0.5000
0.1279 0.8721 0.1482
0.8721 0.1279 0.6482
0.8752 0.1248 0.0000
0.2115 0.7885 0.8579
0.7885 0.2115 0.3579
0.4474 0.5526 0.2541
0.5526 0.4474 0.7541
0.0323 0.9677 0.8666
0.2954 0.7046 0.5015
0.3285 0.6715 0.2136
0.3424 0.6576 0.8154
0.4908 0.5092 0.6020
0.5092 0.4908 0.1020
0.6576 0.3424 0.3154
0.6715 0.3285 0.7136
0.7046 0.2954 0.0015
0.9677 0.0323 0.3666
```

Properties
The density is 6.504 g/cm³. The calculation puts the total magnetization at 0.00 μB/cell. As for the electronic total energy: -3.62 eV/atom. As for the symmetry: No. 36.